First-principles (PBE-GGA) data for crystalline CaS2I at its relaxed geometry, as listed in Alexandria.

Unit cell a=5.5316 b=5.5316 c=16.4028 alpha=90.00 beta=90.00 gamma=90.00
Space group I-42d (No. 122)
Unique sites:
1 Ca 0.0000 0.0000 0.0000 (multiplicity 4)
2 S 0.2493 0.2500 0.1250 (multiplicity 8)
3 I 0.0000 0.0000 0.5000 (multiplicity 4)

Computed properties:
Total energy ... -13.4 eV per formula unit
Offset from the most stable computed form ... 1.50 eV per formula unit
Formation energy without anion corrections ... -392 meV per atom